A relaxed structure of MoRuIO2, computed with GGA+U.

Cell and atoms, written as CIF:
```
data_MoRuIO2
_cell_length_a 3.8667
_cell_length_b 3.8667
_cell_length_c 7.6673
_cell_angle_alpha 90.00
_cell_angle_beta 90.00
_cell_angle_gamma 90.00
_symmetry_space_group_name_H-M 'P 4/m m m'
_symmetry_Int_Tables_number 123
_symmetry_space_group_name_Hall '-P 4 2'
loop_
_atom_site_label
_atom_site_type_symbol
_atom_site_fract_x
_atom_site_fract_y
_atom_site_fract_z
Mo1 Mo 0.0000 0.0000 0.0000
Ru1 Ru 0.5000 0.5000 0.5000
I1 I 0.0000 0.0000 0.5000
O1 O 0.0000 0.5000 0.0000
```

Values from the calculation:
Excess energy over the best structure of this formula in the dataset ... 0 meV/atom